A relaxed structure of Na2B3C. Source: the Alexandria database, functional PBE-GGA.

Calculated values
- crystal system = trigonal
- energy relative to the lowest polymorph listed for this composition (meV/atom) = 58
- volume (Å³ per atom) = 10.51
- energy relative to the elements (eV/atom) = 0.191
- space-group type = P3m1, No. 156

Cell: 2.9134 2.9134 34.3271 Å, 90.00 90.00 120.00°
Last column: nearest neighbours and their distance in Å.
Fractional coordinates of all 24 atoms:
Na 0.0000 0.0000 0.0000  9 B 2.71-2.75, 3 C 2.71, 6 Na 2.91
Na 0.0000 0.0000 0.1229  6 C 2.69, 6 B 2.69, 6 Na 2.91
Na 0.0000 0.0000 0.2457  9 B 2.70-2.75, 3 C 2.70, 6 Na 2.91
Na 0.0000 0.0000 0.3727  12 B 2.76, 6 Na 2.91
Na 0.0000 0.0000 0.4998  3 C 2.70, 9 B 2.70-2.75, 6 Na 2.91
Na 0.0000 0.0000 0.6232  9 B 2.71-2.75, 3 C 2.71, 6 Na 2.91
Na 0.0000 0.0000 0.7497  3 C 2.71, 9 B 2.71-2.75, 6 Na 2.91
Na 0.0000 0.0000 0.8734  9 B 2.71-2.75, 3 C 2.71, 6 Na 2.91
B 0.3333 0.6667 0.1841  3 C 1.68
B 0.3333 0.6667 0.3090  3 B 1.68
B 0.3333 0.6667 0.4364  3 B 1.68
B 0.3333 0.6667 0.6864  3 B 1.68
B 0.3333 0.6667 0.9367  3 B 1.68
B 0.6667 0.3333 0.0618  3 C 1.68
B 0.6667 0.3333 0.3090  3 B 1.68
B 0.6667 0.3333 0.4364  3 B 1.68
B 0.6667 0.3333 0.5613  3 C 1.68
B 0.6667 0.3333 0.6864  3 B 1.68
B 0.6667 0.3333 0.8115  3 C 1.68
B 0.6667 0.3333 0.9367  3 B 1.68
C 0.3333 0.6667 0.0619  3 B 1.68
C 0.3333 0.6667 0.5613  3 B 1.68
C 0.3333 0.6667 0.8115  3 B 1.68
C 0.6667 0.3333 0.1841  3 B 1.68